Compound: ScBe3Ir
Source: Alexandria
Functional: GGA-PBE
Structure: relaxed

Lattice parameters (Å, degrees): 4.1967 4.1967 4.1967 90.00 90.00 90.00
Last column: nearest neighbours and their distance in Å.
Atoms (fractional coordinates):
Sc  0.5000  0.5000  0.5000  12 Be 2.97
Be  0.0000  0.5000  0.0000  2 Ir 2.10
Be  0.0000  0.0000  0.5000  2 Ir 2.10
Be  0.5000  0.0000  0.0000  2 Ir 2.10
Ir  0.0000  0.0000  0.0000  6 Be 2.10

- total moment (μB/f.u.) = 0.0
- ΔE to the lowest computed polymorph (kJ/mol of atoms) = 0.0
- calculated formation energy (eV/atom) = -0.152

=====

Compound: Ba2PaAuS5
Source: Alexandria
Functional: GGA-PBE
Structure: relaxed

Lattice parameters (Å, degrees): 4.1828 9.3513 12.8397 90.00 90.00 102.92
Last column: nearest neighbours and their distance in Å.
Atoms (fractional coordinates):
Ba  0.8818  0.7636  0.8208  5 S 3.06-3.33
Ba  0.1095  0.2191  0.6899  5 S 3.08-3.33
Ba  0.1182  0.2364  0.3208  5 S 3.06-3.33
Ba  0.8905  0.7809  0.1899  5 S 3.08-3.33
Pa  0.7988  0.5976  0.5156  6 S 2.58-2.74
Pa  0.2012  0.4024  0.0156  6 S 2.58-2.74
Au  0.5609  0.1218  0.9387  4 S 2.44-2.72
Au  0.4391  0.8782  0.4387  4 S 2.44-2.72
S  0.3445  0.6891  0.0092  1 Pa 2.61
S  0.7036  0.4072  0.8776  1 Au 2.72, 2 Pa 2.74
S  0.4991  0.9982  0.7703  1 Au 2.44
S  0.2902  0.5803  0.6525  2 Pa 2.74
S  0.9383  0.8766  0.5495  2 Au 2.53, 1 Pa 2.58
S  0.6555  0.3109  0.5092  1 Pa 2.61
S  0.2964  0.5928  0.3776  1 Au 2.72, 2 Pa 2.74
S  0.5009  0.0018  0.2703  1 Au 2.44
S  0.7098  0.4197  0.1525  2 Pa 2.74
S  0.0617  0.1234  0.0495  2 Au 2.53, 1 Pa 2.58

- total moment (μB/f.u.) = 0.1
- formation energy without anion corrections (eV/f.u.) = -14.118

=====

Q: total moment of number 1 (ScBe3Ir)?
A: 0.0 μB/f.u.